# WSeBr, optimized geometry, DFT PBE
# ΔE_f (raw) = -7.3 kJ per mole of atoms
# DOS at the Fermi energy = 1.87 states/eV per cell
# Spin magnetization = 0.00 μB/f.u.
# V = 23.58 Å³/atom
data_WSeBr
_chemical_formula_sum 'W1 Se1 Br1'
_symmetry_space_group_name_H-M 'P 3 m 1'
_symmetry_Int_Tables_number 156
_cell_length_a 3.2949
_cell_length_b 3.2949
_cell_length_c 7.5234
_cell_angle_alpha 90.00
_cell_angle_beta 90.00
_cell_angle_gamma 120.00
loop_
_symmetry_equiv_pos_as_xyz
'x,y,z'
'-y,x-y,z'
'-x+y,-x,z'
'-y,-x,z'
'-x+y,y,z'
'x,x-y,z'
loop_
_atom_site_label
_atom_site_type_symbol
_atom_site_fract_x
_atom_site_fract_y
_atom_site_fract_z
W1 W 0.0000 0.0000 0.0000
Se1 Se 0.3333 0.6667 0.7767
Br1 Br 0.6667 0.3333 0.2558